Tm2CoRu: relaxed, GGA-PBEsol.

Energy of formation from the pure elements: -307 meV per atom
Total magnetic moment: 0.00 μB/cell
E_tot: -0.26583 hartree per atom

a b c (Å): 4.6140 4.6140 4.6140
angles (deg): 60.00 60.00 60.00
With the nearest neighbours (Å) after each atom.
Element x y z (fractional)
Tm: 0.2500 0.2500 0.2500  4 Ru 2.83, 4 Co 2.83
Tm: 0.7500 0.7500 0.7500  4 Co 2.83, 4 Ru 2.83
Co: 0.0000 0.0000 0.0000  8 Tm 2.83
Ru: 0.5000 0.5000 0.5000  8 Tm 2.83


Co2RuW: relaxed, GGA-PBEsol.

ΔE to the lowest computed polymorph: 35.9 meV/atom
Energy of formation from the pure elements: -15 meV per atom
Total magnetic moment: 0.12 μB/cell
E_tot: -0.36302 hartree per atom

a b c (Å): 2.6173 4.1345 4.4807
angles (deg): 90.00 90.00 90.00
With the nearest neighbours (Å) after each atom.
Element x y z (fractional)
Co: 0.0000 0.0000 0.0000  4 Co 2.51-2.62, 4 Ru 2.54, 4 W 2.58-2.61
Co: 0.0000 0.5000 0.3183  4 Ru 2.48-2.71, 4 Co 2.51-2.62, 4 W 2.57
Ru: 0.5000 0.5000 0.8475  8 Co 2.48-2.71, 2 W 2.60, 2 Ru 2.62
W: 0.5000 0.0000 0.4951  8 Co 2.57-2.61, 2 Ru 2.60, 2 W 2.62


Co2RuW: relaxed, GGA-PBEsol.

ΔE to the lowest computed polymorph: 0.0 meV/atom
Energy of formation from the pure elements: -51 meV per atom
Total magnetic moment: 0.00 μB/cell
E_tot: -0.36435 hartree per atom

a b c (Å): 3.6398 3.6398 3.6572
angles (deg): 90.00 90.00 90.00
With the nearest neighbours (Å) after each atom.
Element x y z (fractional)
Co: 0.0000 0.5000 0.0000  4 Co 2.57, 4 W 2.58, 4 Ru 2.58
Co: 0.5000 0.0000 0.0000  4 Co 2.57, 4 W 2.58, 4 Ru 2.58
Ru: 0.0000 0.0000 0.5000  4 W 2.57, 8 Co 2.58
W: 0.5000 0.5000 0.5000  4 Ru 2.57, 8 Co 2.58


CoRu3W: relaxed, GGA-PBEsol.

Energy of formation from the pure elements: 2111 meV per atom
Total magnetic moment: 4.34 μB/cell
E_tot: -0.30508 hartree per atom

a b c (Å): 4.5714 4.5714 4.5714
angles (deg): 90.00 90.00 90.00
With the nearest neighbours (Å) after each atom.
Element x y z (fractional)
Co: 0.0000 0.0000 0.0000  12 Ru 3.23
Ru: 0.0000 0.5000 0.5000  2 W 2.29
Ru: 0.5000 0.0000 0.5000  2 W 2.29
Ru: 0.5000 0.5000 0.0000  2 W 2.29
W: 0.5000 0.5000 0.5000  6 Ru 2.29


CoRuW: relaxed, GGA-PBEsol.

Energy of formation from the pure elements: 683 meV per atom
Total magnetic moment: 0.17 μB/cell
E_tot: -0.36344 hartree per atom

a b c (Å): 3.9601 3.9601 3.9601
angles (deg): 60.00 60.00 60.00
With the nearest neighbours (Å) after each atom.
Element x y z (fractional)
Co: 0.0000 0.0000 0.0000  4 W 2.43, 4 Ru 2.43
Ru: 0.7500 0.7500 0.7500  4 Co 2.43
W: 0.2500 0.2500 0.2500  4 Co 2.43


Co2RuW: relaxed, GGA-PBEsol.

ΔE to the lowest computed polymorph: 225.1 meV/atom
Energy of formation from the pure elements: 174 meV per atom
Total magnetic moment: 1.67 μB/cell
E_tot: -0.35607 hartree per atom

a b c (Å): 4.4576 4.4576 4.5060
angles (deg): 100.28 100.28 34.58
With the nearest neighbours (Å) after each atom.
Element x y z (fractional)
Co: 0.2475 0.2475 0.2432  3 Ru 2.56-2.59, 6 Co 2.57-2.66, 3 W 2.59-2.60
Co: 0.7525 0.7525 0.7568  3 Ru 2.56-2.59, 6 Co 2.57-2.66, 3 W 2.59-2.60
Ru: 0.5000 0.5000 0.0000  6 Co 2.56-2.59, 4 W 2.61, 2 Ru 2.65
W: 0.0000 0.0000 0.5000  6 Co 2.59-2.60, 4 Ru 2.61, 2 W 2.65


Co2RuW: relaxed, GGA-PBEsol.

ΔE to the lowest computed polymorph: 43.8 meV/atom
Energy of formation from the pure elements: -7 meV per atom
Total magnetic moment: 0.12 μB/cell
E_tot: -0.36274 hartree per atom

a b c (Å): 4.4706 4.4706 4.4706
angles (deg): 131.88 131.88 70.42
With the nearest neighbours (Å) after each atom.
Element x y z (fractional)
Co: 0.2500 0.7500 0.5000  4 Co 2.58, 4 W 2.58, 4 Ru 2.58
Co: 0.7500 0.2500 0.5000  4 Co 2.58, 4 W 2.58, 4 Ru 2.58
Ru: 0.0000 0.0000 0.0000  4 W 2.58, 8 Co 2.58
W: 0.5000 0.5000 0.0000  4 Ru 2.58, 8 Co 2.58


YCo3Ru: relaxed, GGA-PBEsol.

Energy of formation from the pure elements: 2064 meV per atom
Total magnetic moment: 5.38 μB/cell
E_tot: -0.21965 hartree per atom

a b c (Å): 4.3777 4.3777 4.3777
angles (deg): 90.00 90.00 90.00
With the nearest neighbours (Å) after each atom.
Element x y z (fractional)
Y: 0.0000 0.0000 0.0000  6 Co 2.19
Co: 0.0000 0.0000 0.5000  2 Y 2.19
Co: 0.0000 0.5000 0.0000  2 Y 2.19
Co: 0.5000 0.0000 0.0000  2 Y 2.19
Ru: 0.5000 0.5000 0.5000  12 Co 3.10


YCo2Ru: relaxed, GGA-PBEsol.

ΔE to the lowest computed polymorph: 7.3 meV/atom
Energy of formation from the pure elements: 257 meV per atom
Total magnetic moment: 3.51 μB/cell
E_tot: -0.28884 hartree per atom

a b c (Å): 3.2538 4.1844 4.3007
angles (deg): 90.00 90.00 90.00
With the nearest neighbours (Å) after each atom.
Element x y z (fractional)
Y: 0.0000 0.0000 0.0000  4 Co 2.65, 4 Ru 2.70
Co: 0.0000 0.5000 0.5000  4 Ru 2.65, 4 Co 2.70
Co: 0.5000 0.5000 0.0000  4 Y 2.65, 4 Co 2.70
Ru: 0.5000 0.0000 0.5000  4 Co 2.65, 4 Y 2.70


YCo2Ru: relaxed, GGA-PBEsol.

ΔE to the lowest computed polymorph: 380.1 meV/atom
Energy of formation from the pure elements: 630 meV per atom
Total magnetic moment: 2.29 μB/cell
E_tot: -0.27514 hartree per atom

a b c (Å): 8.8841 8.8841 8.8841
angles (deg): 17.83 17.83 17.83
With the nearest neighbours (Å) after each atom.
Element x y z (fractional)
Y: 0.0000 0.0000 0.0000  6 Y 2.75, 6 Co 2.90
Co: 0.2406 0.2406 0.2406  3 Ru 2.51, 6 Co 2.75
Co: 0.7594 0.7594 0.7594  3 Ru 2.51, 6 Co 2.75
Ru: 0.5000 0.5000 0.5000  6 Co 2.51, 6 Ru 2.75


YCo2Ru: relaxed, GGA-PBEsol.

ΔE to the lowest computed polymorph: 20.1 meV/atom
Energy of formation from the pure elements: 270 meV per atom
Total magnetic moment: 3.78 μB/cell
E_tot: -0.28837 hartree per atom

a b c (Å): 4.3573 4.3573 4.3573
angles (deg): 60.00 60.00 60.00
With the nearest neighbours (Å) after each atom.
Element x y z (fractional)
Y: 0.0000 0.0000 0.0000  4 Co 2.67, 4 Ru 2.67
Co: 0.5000 0.5000 0.5000  4 Co 2.67, 4 Ru 2.67
Co: 0.7500 0.7500 0.7500  4 Co 2.67, 4 Y 2.67
Ru: 0.2500 0.2500 0.2500  4 Co 2.67, 4 Y 2.67


YCo2Ru: relaxed, GGA-PBEsol.

ΔE to the lowest computed polymorph: 0.0 meV/atom
Energy of formation from the pure elements: 250 meV per atom
Total magnetic moment: 3.59 μB/cell
E_tot: -0.28911 hartree per atom

a b c (Å): 5.1139 5.1139 5.1139
angles (deg): 145.28 128.81 63.34
With the nearest neighbours (Å) after each atom.
Element x y z (fractional)
Y: 0.0000 0.0000 0.0000  8 Co 2.69-2.96, 4 Ru 2.84-2.95
Co: 0.2735 0.7735 0.5000  2 Co 2.41
Co: 0.4882 0.4882 0.0000  2 Co 2.41, 2 Ru 2.56, 4 Y 2.69
Ru: 0.7245 0.2245 0.5000  6 Co 2.56-2.72, 2 Y 2.84


Zn2CoRu: relaxed, GGA-PBEsol.

ΔE to the lowest computed polymorph: 70.1 meV/atom
Energy of formation from the pure elements: 77 meV per atom
Total magnetic moment: 0.64 μB/cell
E_tot: -0.19079 hartree per atom

a b c (Å): 4.4306 4.4306 4.5827
angles (deg): 99.95 99.95 34.06
With the nearest neighbours (Å) after each atom.
Element x y z (fractional)
Zn: 0.2452 0.2452 0.2405  3 Co 2.53-2.60, 6 Zn 2.57-2.70, 3 Ru 2.57-2.61
Zn: 0.7548 0.7548 0.7595  3 Co 2.53-2.60, 6 Zn 2.57-2.70, 3 Ru 2.57-2.61
Co: 0.5000 0.5000 0.0000  6 Zn 2.53-2.60, 2 Co 2.60, 4 Ru 2.63
Ru: 0.0000 0.0000 0.5000  6 Zn 2.57-2.61, 2 Ru 2.60, 4 Co 2.63


Zn2CoRu: relaxed, GGA-PBEsol.

ΔE to the lowest computed polymorph: 57.0 meV/atom
Energy of formation from the pure elements: 63 meV per atom
Total magnetic moment: 0.87 μB/cell
E_tot: -0.19128 hartree per atom

a b c (Å): 8.5974 8.5974 8.5974
angles (deg): 17.59 17.59 17.59
With the nearest neighbours (Å) after each atom.
Element x y z (fractional)
Zn: 0.0000 0.0000 0.0000  3 Co 2.53, 9 Zn 2.63-2.75
Zn: 0.2430 0.2430 0.2430  9 Zn 2.63-2.75, 3 Ru 2.68
Co: 0.7464 0.7464 0.7464  3 Ru 2.46, 3 Zn 2.53, 6 Co 2.63
Ru: 0.4891 0.4891 0.4891  3 Co 2.46, 6 Ru 2.63, 3 Zn 2.68


Zn2CoRu: relaxed, GGA-PBEsol.

ΔE to the lowest computed polymorph: 0.0 meV/atom
Energy of formation from the pure elements: 7 meV per atom
Total magnetic moment: 0.37 μB/cell
E_tot: -0.19337 hartree per atom

a b c (Å): 2.6225 2.6225 7.3150
angles (deg): 90.00 90.00 90.00
With the nearest neighbours (Å) after each atom.
Element x y z (fractional)
Zn: 0.0000 0.0000 0.0000  8 Zn 2.62-2.75, 4 Ru 2.69
Zn: 0.5000 0.5000 0.2778  4 Co 2.54, 8 Zn 2.62-2.75
Co: 0.0000 0.0000 0.5154  4 Ru 2.45, 4 Zn 2.54, 4 Co 2.62
Ru: 0.5000 0.5000 0.7342  4 Co 2.45, 4 Ru 2.62, 4 Zn 2.69


Zr2CoRu: relaxed, GGA-PBEsol.

Energy of formation from the pure elements: -440 meV per atom
Total magnetic moment: 0.72 μB/cell
E_tot: -0.34774 hartree per atom

a b c (Å): 4.5096 4.5096 3.1900
angles (deg): 90.00 90.00 90.00
With the nearest neighbours (Å) after each atom.
Element x y z (fractional)
Zr: 0.0000 0.5000 0.0000  4 Ru 2.76, 4 Co 2.76
Zr: 0.5000 0.0000 0.0000  4 Ru 2.76, 4 Co 2.76
Co: 0.0000 0.0000 0.5000  8 Zr 2.76
Ru: 0.5000 0.5000 0.5000  8 Zr 2.76


ZrCo4Ru: relaxed, GGA-PBEsol.

Energy of formation from the pure elements: -154 meV per atom
Total magnetic moment: 6.37 μB/cell
E_tot: -0.31320 hartree per atom

a b c (Å): 4.7230 4.7230 4.7230
angles (deg): 60.00 60.00 60.00
With the nearest neighbours (Å) after each atom.
Element x y z (fractional)
Zr: 0.0000 0.0000 0.0000  12 Co 2.77, 4 Ru 2.89
Co: 0.1261 0.6246 0.6246  6 Co 2.35-2.37
Co: 0.6246 0.1261 0.6246  6 Co 2.35-2.37
Co: 0.6246 0.6246 0.1261  6 Co 2.35-2.37
Co: 0.6246 0.6246 0.6246  6 Co 2.35-2.37
Ru: 0.2500 0.2500 0.2500  12 Co 2.77, 4 Zr 2.89


Zr2Co2Ru: relaxed, GGA-PBEsol.

Energy of formation from the pure elements: -88 meV per atom
Total magnetic moment: 1.95 μB/cell
E_tot: -0.32535 hartree per atom

a b c (Å): 8.1158 8.1158 8.1158
angles (deg): 157.40 157.40 32.18
With the nearest neighbours (Å) after each atom.
Element x y z (fractional)
Zr: 0.1066 0.1066 0.0000  4 Co 2.74, 4 Ru 2.80
Zr: 0.8934 0.8934 0.0000  4 Co 2.74, 4 Ru 2.80
Co: 0.2500 0.7500 0.5000  4 Co 2.25
Co: 0.7500 0.2500 0.5000  4 Co 2.25
Ru: 0.5000 0.5000 0.0000  8 Zr 2.80


ZrCo2Ru: relaxed, GGA-PBEsol.

Energy of formation from the pure elements: -98 meV per atom
Total magnetic moment: 0.00 μB/cell
E_tot: -0.32275 hartree per atom

a b c (Å): 4.5456 4.5456 4.5456
angles (deg): 130.70 130.70 72.28
With the nearest neighbours (Å) after each atom.
Element x y z (fractional)
Zr: 0.0000 0.0000 0.0000  8 Co 2.64, 4 Ru 2.68
Co: 0.2500 0.7500 0.5000  4 Zr 2.64, 4 Ru 2.64, 4 Co 2.68
Co: 0.7500 0.2500 0.5000  4 Zr 2.64, 4 Ru 2.64, 4 Co 2.68
Ru: 0.5000 0.5000 0.0000  8 Co 2.64, 4 Zr 2.68


Co9S8: relaxed, GGA-PBEsol.

Total magnetic moment: 0.00 μB/cell
E_tot: -0.24832 hartree per atom
Formation energy from raw total energies: -0.598 eV per atom

a b c (Å): 6.8157 6.8157 6.8157
angles (deg): 60.00 60.00 60.00
With the nearest neighbours (Å) after each atom.
Element x y z (fractional)
Co: 0.0000 0.0000 0.0000  6 S 2.29
Co: 0.1207 0.6264 0.6264  4 S 2.06-2.17
Co: 0.3736 0.3736 0.3736  4 S 2.06-2.17
Co: 0.3736 0.3736 0.8793  4 S 2.06-2.17
Co: 0.3736 0.8793 0.3736  4 S 2.06-2.17
Co: 0.6264 0.1207 0.6264  4 S 2.06-2.17
Co: 0.6264 0.6264 0.1207  4 S 2.06-2.17
Co: 0.6264 0.6264 0.6264  4 S 2.06-2.17
Co: 0.8793 0.3736 0.3736  4 S 2.06-2.17
S: 0.2373 0.2373 0.7627  5 Co 2.17-2.29
S: 0.2373 0.7627 0.2373  5 Co 2.17-2.29
S: 0.2373 0.7627 0.7627  5 Co 2.17-2.29
S: 0.2500 0.2500 0.2500  4 Co 2.06
S: 0.7500 0.7500 0.7500  4 Co 2.06
S: 0.7627 0.2373 0.2373  5 Co 2.17-2.29
S: 0.7627 0.2373 0.7627  5 Co 2.17-2.29
S: 0.7627 0.7627 0.2373  5 Co 2.17-2.29